{
  "formula": "LiTaTlF2",
  "functional": "PBE",
  "state": "optimized geometry",
  "raw_formation_energy_mev_per_atom": 269,
  "magmom_total_mub_per_cell": 3.13,
  "dos_ef_per_ev_fu": 3.92,
  "lattice_angstrom": [[4.6088, 0.0000, 0.0000], [0.0000, 4.6088, 0.0000], [0.0000, 0.0000, 5.5815]],
  "species": ["Li", "Ta", "Tl", "F", "F"],
  "fractional_positions": [[0.0000, 0.0000, 0.0000], [0.5000, 0.5000, 0.0000], [0.0000, 0.0000, 0.5000], [0.0000, 0.5000, 0.5000], [0.5000, 0.0000, 0.5000]]
}